1.
Computed, not measured: a PBEsol-optimized structure of LiV2F7 at the SCAN level of DFT.

POSCAR file:
```
LiV2F7
1.0
-4.644 -2.413 0.660
2.442 -5.985 1.770
-1.045 -1.015 8.354
Li V F
2 4 14
Cartesian
-2.500 -8.714 8.503
-0.747 -0.699 2.280
-1.444 -3.236 7.520
-3.190 -5.721 7.063
-0.057 -3.692 3.721
-1.803 -6.177 3.263
-2.249 -7.529 9.941
-4.191 -5.494 8.668
-1.417 -5.154 7.643
-2.878 -7.537 7.131
-3.276 -3.732 6.824
-1.506 -1.574 6.770
-0.446 -3.679 5.698
-2.801 -5.734 5.086
-1.741 -7.839 4.013
0.029 -5.681 3.959
-0.368 -1.876 3.652
-1.830 -4.259 3.141
0.944 -3.920 2.115
-0.998 -1.884 0.842
```

Electronic total energy, eV per cell: -186.93
Energy relative to the lowest polymorph listed for this composition, kJ per mole of atoms: 4.1

2.
Computed, not measured: a PBEsol-optimized structure of LiV2F7 at the SCAN level of DFT.

POSCAR file:
```
LiV2F7
1.0
5.115 0.000 -0.028
0.000 7.133 0.000
-1.954 -3.567 6.326
Li V F
2 4 14
Cartesian
3.836 3.491 -0.021
1.279 3.642 -0.007
0.055 -2.303 4.212
2.612 2.303 4.198
3.106 5.869 2.086
0.548 1.264 2.100
0.570 -1.261 5.716
3.127 1.261 5.702
1.119 3.320 4.825
-1.438 3.813 4.840
-1.182 -0.815 3.869
1.375 0.815 3.854
1.580 -1.783 3.149
-0.977 1.783 3.163
1.786 2.752 2.443
4.343 4.381 2.429
2.041 0.246 1.472
4.599 -0.246 1.458
2.591 4.827 0.582
0.034 2.306 0.596
```

Electronic total energy, eV per cell: -187.30
Energy relative to the lowest polymorph listed for this composition, kJ per mole of atoms: 2.3

3.
Computed, not measured: a PBEsol-optimized structure of LiVF3 at the SCAN level of DFT.

POSCAR file:
```
LiVF3
1.0
-2.972 4.270 -2.968
-4.418 -0.271 4.035
2.742 4.191 3.285
Li V F
4 4 12
Cartesian
-0.388 0.683 0.363
-3.688 3.975 4.378
-1.061 6.220 2.960
-4.159 5.502 1.002
-1.009 4.026 4.964
-1.617 2.849 1.514
-5.267 3.193 1.985
-1.404 6.312 0.240
-0.145 1.551 2.193
-2.670 3.439 6.062
-2.348 1.043 0.797
-2.101 3.045 3.497
-0.477 2.639 -0.208
-2.354 5.517 4.437
-0.899 4.770 1.534
-3.469 3.582 1.024
-0.108 7.307 1.521
-4.739 4.986 2.889
-2.681 6.719 1.825
-5.899 4.542 0.539
```

Electronic total energy, eV per cell: -182.06
Energy relative to the lowest polymorph listed for this composition, kJ per mole of atoms: 5.7

4.
Computed, not measured: a PBEsol-optimized structure of LiV3F10 at the SCAN level of DFT.

POSCAR file:
```
LiV3F10
1.0
-1.562 -1.442 -5.848
2.484 -6.771 1.006
-6.742 -2.129 2.325
Li V F
2 6 20
Cartesian
-2.703 -1.471 -3.228
-5.601 -2.099 -0.295
-2.910 -5.171 -1.258
0.461 -4.106 -2.421
-1.469 -6.248 1.933
1.902 -5.184 0.770
-2.789 -2.651 1.398
0.582 -1.587 0.236
-4.727 -5.824 -1.170
-1.093 -4.517 -1.347
1.242 -3.385 0.503
0.239 -5.860 -3.240
-5.074 -7.162 1.121
-2.322 -6.669 -2.357
-2.514 -6.354 0.238
0.100 -5.915 0.832
-4.550 -8.160 -2.794
-4.299 -2.146 -3.825
-4.005 -1.425 0.302
-1.668 -1.315 -4.732
-6.636 -2.255 1.210
-5.920 -4.426 -3.349
-1.270 -2.181 0.277
-0.745 -3.179 -3.638
-6.058 -4.481 0.723
-3.305 -3.987 -2.755
-3.498 -3.673 -0.160
-2.129 -4.450 1.666
```

Electronic total energy, eV per cell: -268.59

5.
Computed, not measured: a PBEsol-optimized structure of LiVF5 at the SCAN level of DFT.

POSCAR file:
```
LiVF5
1.0
-0.308 -6.012 0.372
6.080 -0.225 1.400
-1.939 0.626 8.522
Li V F
4 4 20
Cartesian
4.181 -3.092 2.402
0.852 0.170 3.462
3.057 -5.783 6.849
-0.271 -2.522 7.909
0.013 -0.477 0.039
1.930 -3.282 5.184
-1.061 -2.218 4.427
0.855 -5.024 9.572
-0.079 -2.277 0.152
-0.943 -4.383 8.892
4.652 -5.117 1.662
2.135 -5.725 2.747
-0.120 -0.147 1.826
2.589 -3.208 3.487
5.152 -2.774 4.040
0.894 -1.717 4.606
3.124 -1.771 5.570
1.839 -5.083 5.294
-0.969 -0.418 4.318
0.071 -3.816 4.577
3.727 -3.923 5.869
1.293 -2.933 6.855
-1.217 -2.311 6.240
1.493 -5.373 7.901
4.310 0.018 8.148
-0.030 -0.523 8.813
4.138 -1.204 1.254
0.949 -3.224 9.459
```

Electronic total energy, eV per cell: -235.44
Energy relative to the lowest polymorph listed for this composition, kJ per mole of atoms: 5.2

6.
Computed, not measured: a PBEsol-optimized structure of Li2ZnF at the SCAN level of DFT.

POSCAR file:
```
Li2ZnF
1.0
-0.507 4.175 1.016
-2.038 2.660 -2.736
-3.927 1.525 0.986
Zn Li F
1 2 1
Cartesian
-3.236 4.180 -0.367
-1.618 2.090 -0.183
-4.854 6.270 -0.550
0.000 0.000 0.000
```

Electronic total energy, eV per cell: -24.92

7.
Computed, not measured: a PBEsol-optimized structure of Li3ZnF at the SCAN level of DFT.

POSCAR file:
```
Li3ZnF
1.0
4.018 0.000 0.000
0.000 4.018 0.000
0.000 0.000 4.018
Zn Li F
1 3 1
Cartesian
2.009 2.009 2.009
0.000 2.009 0.000
0.000 0.000 2.009
2.009 0.000 0.000
0.000 0.000 0.000
```

Electronic total energy, eV per cell: -30.02

8.
Computed, not measured: a PBEsol-optimized structure of LiZn2F at the SCAN level of DFT.

POSCAR file:
```
LiZn2F
1.0
-1.377 -4.011 -1.176
2.822 -2.854 -1.806
1.314 -3.532 2.273
Zn Li F
2 1 1
Cartesian
0.690 -2.599 -0.177
2.069 -7.798 -0.531
0.000 0.000 0.000
1.380 -5.199 -0.354
```

Electronic total energy, eV per cell: -34.39

We obtain ρ values of 2.955, 3.485, 3.551, 3.444, 3.078, 2.850, 2.695, 4.319 g/cm3 for the records listed above, in that order.